A geometry-optimized CdCo2W structure, computed with PBE-GGA.

The structure in extended XYZ format:
```
4
Lattice="-3.335 -0.753 2.799 -4.131 -1.537 0.306 1.174 -4.950 1.182" Properties=species:S:1:pos:R:3 pbc="T T T"
Co -3.042 -3.864 2.187
W -4.719 -5.430 3.215
Cd -1.573 -1.810 1.072
Co 1.070 -4.706 1.139
```

As for the symmetry: C2/m, No. 12. The value obtained for the energy relative to the elements is 0.402 eV/atom.